A relaxed LiPaGePd crystal. Source: the Alexandria database, functional PBE.

a b c (Å): 6.757 6.757 6.757
angles (deg): 90.00 90.00 90.00
Space group F-43m (No. 216)
Unique sites:
1 Li 0.000 0.000 0.000 (multiplicity 4)
2 Pa 0.000 0.000 0.500 (multiplicity 4)
3 Ge 0.250 0.250 0.250 (multiplicity 4)
4 Pd 0.250 0.250 0.750 (multiplicity 4)

The value obtained for the formation energy is -153.8 kJ/mol of formula units. For the size of the total moment, the calculation gives 0.0000 μB/atom. The density of states at the Fermi level is 0.781 states/eV/atom. Its calculated volume is 19.28 A^3/atom. Its calculated density is 8.98 g/cm3.